# 1
# TeRuPb2

TeRuPb2 after structural relaxation (PBE-GGA, Alexandria via LeMat-Bulk).

Its density is 10.49 g/cm3. For the energy, the calculation gives -4.684 eV/atom. The value obtained for the density of states at the Fermi level is 0.755 states/eV per atom. Its spin magnetization is 0.0 Bohr magnetons per cell.

a b c (Å): 4.653 4.660 9.388
angles (deg): 90.00 90.00 90.00
Space group Cmmm (No. 65)
Inequivalent atoms, fractional coordinates:
1 Te 0.000 0.000 0.000 [2 per cell]
2 Ru 0.000 0.000 0.500 [2 per cell]
3 Pb 0.000 0.500 0.314 [4 per cell]

=====

# 2
# TlTeRu2Pb

TlTeRu2Pb after structural relaxation (PBE-GGA, Alexandria via LeMat-Bulk).

Its density is 7.78 g/cm3. For the energy, the calculation gives -4.041 eV/atom. The value obtained for the density of states at the Fermi level is 1.875 states/eV per atom. Its spin magnetization is 3.8 Bohr magnetons per cell.

a b c (Å): 5.163 5.163 5.932
angles (deg): 90.00 90.00 90.00
Space group P4/mmm (No. 123)
Inequivalent atoms, fractional coordinates:
1 Tl 0.000 0.000 0.000 [1 per cell]
2 Te 0.500 0.500 0.000 [1 per cell]
3 Ru 0.000 0.500 0.500 [2 per cell]
4 Pb 0.500 0.500 0.500 [1 per cell]

=====

# 3
# VTeRuPb2

VTeRuPb2 after structural relaxation (PBE-GGA, Alexandria via LeMat-Bulk).

Its density is 8.45 g/cm3. For the energy, the calculation gives -5.090 eV/atom. The value obtained for the density of states at the Fermi level is 0.962 states/eV per atom. Its spin magnetization is 1.7 Bohr magnetons per cell.

a b c (Å): 5.538 5.538 4.444
angles (deg): 90.00 90.00 90.00
Space group P4/mmm (No. 123)
Inequivalent atoms, fractional coordinates:
1 V 0.000 0.000 0.000 [1 per cell]
2 Te 0.500 0.500 0.500 [1 per cell]
3 Ru 0.000 0.000 0.500 [1 per cell]
4 Pb 0.000 0.500 0.000 [2 per cell]

=====

# 4
# Te2RuPbW

Te2RuPbW after structural relaxation (PBE-GGA, Alexandria via LeMat-Bulk).

Its density is 8.96 g/cm3. For the energy, the calculation gives -5.087 eV/atom. The value obtained for the density of states at the Fermi level is 0.896 states/eV per atom. Its spin magnetization is 3.3 Bohr magnetons per cell.

a b c (Å): 5.200 5.200 5.122
angles (deg): 90.00 90.00 90.00
Space group P4/mmm (No. 123)
Inequivalent atoms, fractional coordinates:
1 Te 0.000 0.500 0.000 [2 per cell]
2 Ru 0.000 0.000 0.000 [1 per cell]
3 Pb 0.000 0.000 0.500 [1 per cell]
4 W 0.500 0.500 0.500 [1 per cell]

=====

# 5
# Th3Ru3Pb

Th3Ru3Pb after structural relaxation (PBE-GGA, Alexandria via LeMat-Bulk).

Its density is 11.34 g/cm3. The value obtained for the density of states at the Fermi level is 0.643 states/eV per atom. Its spin magnetization is 0.0 Bohr magnetons per cell. The calculation puts the energy of formation from the pure elements at -0.30 eV per atom.

a b c (Å): 8.7574 8.7574 15.9547
angles (deg): 90.00 90.00 120.00
Space group R-3 (No. 148, hexagonal axes)
Inequivalent atoms, fractional coordinates:
1 Th 0.0201 0.7249 0.1016 [18 per cell]
2 Ru 0.0078 0.6327 0.9311 [18 per cell]
3 Pb 0.0000 0.0000 0.3287 [6 per cell]

=====

# 6
# Th8RuPb2

Th8RuPb2 after structural relaxation (PBE-GGA, Alexandria via LeMat-Bulk).

Its density is 11.70 g/cm3. The value obtained for the density of states at the Fermi level is 1.172 states/eV per atom. Its spin magnetization is 0.0 Bohr magnetons per cell. The calculation puts the energy of formation from the pure elements at -0.10 eV per atom.

a b c (Å): 18.566 5.611 6.827
angles (deg): 90.00 108.80 90.00
Space group C2/m (No. 12)
Inequivalent atoms, fractional coordinates:
1 Th 0.003 0.000 0.237 [4 per cell]
2 Th 0.088 0.500 0.740 [4 per cell]
3 Th 0.139 0.500 0.299 [4 per cell]
4 Th 0.222 0.000 0.123 [4 per cell]
5 Ru 0.000 0.500 0.000 [2 per cell]
6 Pb 0.172 0.000 0.608 [4 per cell]

=====

# 7
# Th5Ru2Pb2

Th5Ru2Pb2 after structural relaxation (PBE-GGA, Alexandria via LeMat-Bulk).

Its density is 11.26 g/cm3. The value obtained for the density of states at the Fermi level is 1.161 states/eV per atom. Its spin magnetization is 0.0 Bohr magnetons per cell. The calculation puts the energy of formation from the pure elements at -0.23 eV per atom.

a b c (Å): 16.973 9.448 6.533
angles (deg): 90.00 90.00 90.00
Space group Ima2 (No. 46)
Inequivalent atoms, fractional coordinates:
1 Th 0.060 0.212 0.000 [8 per cell]
2 Th 0.147 0.603 0.303 [8 per cell]
3 Th 0.250 0.102 0.300 [4 per cell]
4 Ru 0.000 0.000 0.717 [4 per cell]
5 Ru 0.250 0.121 0.830 [4 per cell]
6 Pb 0.086 0.571 0.815 [8 per cell]

=====

# 8
# Th6Ru3Pb

Th6Ru3Pb after structural relaxation (PBE-GGA, Alexandria via LeMat-Bulk).

Its density is 10.91 g/cm3. The value obtained for the density of states at the Fermi level is 0.848 states/eV per atom. Its spin magnetization is 0.0 Bohr magnetons per cell. The calculation puts the energy of formation from the pure elements at -0.36 eV per atom.

a b c (Å): 11.698 4.227 12.209
angles (deg): 90.00 106.35 90.00
Space group P2_1/m (No. 11)
Inequivalent atoms, fractional coordinates:
1 Th 0.012 0.250 0.384 [2 per cell]
2 Th 0.114 0.250 0.958 [2 per cell]
3 Th 0.201 0.750 0.260 [2 per cell]
4 Th 0.291 0.750 0.776 [2 per cell]
5 Th 0.341 0.250 0.541 [2 per cell]
6 Th 0.418 0.750 0.091 [2 per cell]
7 Ru 0.029 0.250 0.163 [2 per cell]
8 Ru 0.170 0.750 0.488 [2 per cell]
9 Ru 0.347 0.250 0.923 [2 per cell]
10 Pb 0.445 0.250 0.314 [2 per cell]

=====

# 9
# Th3Ru2Pb

Th3Ru2Pb after structural relaxation (PBE-GGA, Alexandria via LeMat-Bulk).

Its density is 10.96 g/cm3. The value obtained for the density of states at the Fermi level is 1.083 states/eV per atom. Its spin magnetization is 0.0 Bohr magnetons per cell. The calculation puts the energy of formation from the pure elements at -0.02 eV per atom.

a b c (Å): 20.916 3.750 8.591
angles (deg): 90.00 95.94 90.00
Space group C2/m (No. 12)
Inequivalent atoms, fractional coordinates:
1 Th 0.066 0.000 0.294 [4 per cell]
2 Th 0.076 0.500 0.900 [4 per cell]
3 Th 0.218 0.500 0.231 [4 per cell]
4 Ru 0.047 0.000 0.651 [4 per cell]
5 Ru 0.212 0.500 0.893 [4 per cell]
6 Pb 0.153 0.500 0.580 [4 per cell]

=====

# 10
# Th6Ru2Pb

Th6Ru2Pb after structural relaxation (PBE-GGA, Alexandria via LeMat-Bulk).

Its density is 11.41 g/cm3. The value obtained for the density of states at the Fermi level is 1.035 states/eV per atom. Its spin magnetization is 0.0 Bohr magnetons per cell. The calculation puts the energy of formation from the pure elements at -0.16 eV per atom.

a b c (Å): 16.021 10.262 6.907
angles (deg): 90.00 112.55 90.00
Space group C2/c (No. 15)
Inequivalent atoms, fractional coordinates:
1 Th 0.089 0.089 0.193 [8 per cell]
2 Th 0.094 0.451 0.460 [8 per cell]
3 Th 0.225 0.195 0.739 [8 per cell]
4 Ru 0.247 0.045 0.102 [8 per cell]
5 Pb 0.000 0.256 0.750 [4 per cell]

=====

# 11
# Th7Ru2Pb2

Th7Ru2Pb2 after structural relaxation (PBE-GGA, Alexandria via LeMat-Bulk).

Its density is 10.93 g/cm3. The value obtained for the density of states at the Fermi level is 0.938 states/eV per atom. Its spin magnetization is 0.0 Bohr magnetons per cell. The calculation puts the energy of formation from the pure elements at -0.14 eV per atom.

a b c (Å): 11.490 8.463 7.016
angles (deg): 90.00 93.37 90.00
Space group C2/m (No. 12)
Inequivalent atoms, fractional coordinates:
1 Th 0.000 0.000 0.000 [2 per cell]
2 Th 0.015 0.500 0.767 [4 per cell]
3 Th 0.238 0.263 0.255 [8 per cell]
4 Ru 0.241 0.500 0.978 [4 per cell]
5 Pb 0.000 0.178 0.500 [4 per cell]

=====

# 12
# Th8Ru3Pb2

Th8Ru3Pb2 after structural relaxation (PBE-GGA, Alexandria via LeMat-Bulk).

Its density is 9.65 g/cm3. The value obtained for the density of states at the Fermi level is 0.826 states/eV per atom. Its spin magnetization is 0.0 Bohr magnetons per cell. The calculation puts the energy of formation from the pure elements at -0.16 eV per atom.

a b c (Å): 16.280 8.041 7.008
angles (deg): 90.00 105.17 90.00
Space group C2/m (No. 12)
Inequivalent atoms, fractional coordinates:
1 Th 0.099 0.246 0.396 [8 per cell]
2 Th 0.100 0.000 0.909 [4 per cell]
3 Th 0.100 0.500 0.893 [4 per cell]
4 Ru 0.000 0.247 0.000 [4 per cell]
5 Ru 0.000 0.500 0.500 [2 per cell]
6 Pb 0.249 0.500 0.329 [4 per cell]

=====

Q: spin magnetization of number 7 (Th5Ru2Pb2)?
A: 0.0 Bohr magnetons per cell